No. 1
PrHoAsP | PBE | relaxed

Energy of formation ... -575 kJ/mol of formula units
Magnetic moment ... 0.00 μB/f.u.
DFT total energy ... -6.344 eV per atom

Unit cell a=4.165 b=4.165 c=5.862 alpha=90.00 beta=90.00 gamma=90.00
Positions (direct):
Pr 0.000 0.000 0.000
Ho 0.500 0.500 0.500
As 0.500 0.500 0.000
P 0.000 0.000 0.500

---

No. 2
TbPrSc2 | PBE | relaxed

Energy of formation ... 26 kJ/mol of formula units
Magnetic moment ... 0.00 μB/f.u.
E above lowest polymorph ... 1.2 kJ/mol of atoms
DFT total energy ... -5.450 eV per atom

Unit cell a=11.199 b=11.199 c=11.199 alpha=17.92 beta=17.92 gamma=17.92
Positions (direct):
Tb 0.000 0.000 0.000
Pr 0.166 0.166 0.166
Sc 0.584 0.584 0.584
Sc 0.749 0.749 0.749

---

No. 3
KPuNiBr6 | PBE | relaxed

Formation energy without anion corrections ... -1.16 eV/atom
Magnetic moment ... 3.00 μB/f.u.
DFT total energy ... -4.629 eV per atom

Unit cell a=7.096 b=7.096 c=14.614 alpha=90.00 beta=90.00 gamma=120.00
Positions (direct):
K 0.000 0.000 0.000
K 0.000 0.000 0.500
Pu 0.333 0.667 0.250
Pu 0.667 0.333 0.750
Ni 0.333 0.667 0.750
Ni 0.667 0.333 0.250
Br 0.029 0.380 0.646
Br 0.029 0.649 0.854
Br 0.351 0.380 0.854
Br 0.351 0.971 0.646
Br 0.380 0.029 0.146
Br 0.380 0.351 0.354
Br 0.620 0.649 0.646
Br 0.620 0.971 0.854
Br 0.649 0.029 0.354
Br 0.649 0.620 0.146
Br 0.971 0.351 0.146
Br 0.971 0.620 0.354

---

No. 4
Fe2I3Br2 | PBE | relaxed

Formation energy without anion corrections ... -0.15 eV/atom
Magnetic moment ... 8.89 μB/f.u.
DFT total energy ... -3.714 eV per atom

Unit cell a=7.439 b=7.439 c=10.697 alpha=108.94 beta=108.94 gamma=29.89
Positions (direct):
Fe 0.004 0.004 0.212
Fe 0.996 0.996 0.788
I 0.397 0.397 0.620
I 0.500 0.500 0.000
I 0.603 0.603 0.380
Br 0.157 0.157 0.797
Br 0.843 0.843 0.203

---

No. 5
YGa3PdAu | PBE | relaxed

Energy of formation ... -188 kJ/mol of formula units
Magnetic moment ... 0.00 μB/f.u.
DFT total energy ... -4.326 eV per atom

Unit cell a=7.467 b=7.467 c=5.957 alpha=90.00 beta=90.00 gamma=127.90
Positions (direct):
Y 0.214 0.786 0.750
Y 0.786 0.214 0.250
Ga 0.188 0.812 0.250
Ga 0.303 0.303 0.000
Ga 0.303 0.303 0.500
Ga 0.697 0.697 0.000
Ga 0.697 0.697 0.500
Ga 0.812 0.188 0.750
Pd 0.007 0.993 0.250
Pd 0.993 0.007 0.750
Au 0.367 0.633 0.250
Au 0.633 0.367 0.750

---

No. 6
SmDy2YHo5 | PBE | relaxed

Energy of formation ... 252 kJ/mol of formula units
Magnetic moment ... 0.00 μB/f.u.
DFT total energy ... -4.519 eV per atom

Unit cell a=9.761 b=9.761 c=9.761 alpha=127.00 beta=127.00 gamma=78.25
Positions (direct):
Sm 0.250 0.750 0.500
Sm 0.750 0.250 0.500
Dy 0.116 0.616 0.733
Dy 0.384 0.116 0.500
Dy 0.616 0.884 0.500
Dy 0.884 0.384 0.267
Y 0.250 0.250 0.000
Y 0.750 0.750 0.000
Ho 0.000 0.000 0.000
Ho 0.069 0.161 0.500
Ho 0.161 0.661 0.091
Ho 0.339 0.431 0.500
Ho 0.431 0.931 0.091
Ho 0.500 0.500 0.000
Ho 0.569 0.069 0.909
Ho 0.661 0.569 0.500
Ho 0.839 0.339 0.909
Ho 0.931 0.839 0.500

---

No. 7
BaZr2Se | PBE | relaxed

Formation energy without anion corrections ... -0.45 eV/atom
Magnetic moment ... 0.00 μB/f.u.
DFT total energy ... -6.078 eV per atom

Unit cell a=3.537 b=3.537 c=8.837 alpha=90.00 beta=90.00 gamma=90.00
Positions (direct):
Ba 0.000 0.000 0.000
Zr 0.000 0.000 0.434
Zr 0.500 0.500 0.652
Se 0.500 0.500 0.279

---

No. 8
KCuSb3 | PBE | relaxed

Formation energy without anion corrections ... 0.00 eV/atom
Magnetic moment ... 0.00 μB/f.u.
E above lowest polymorph ... 0.0 kJ/mol of atoms
DFT total energy ... -3.510 eV per atom

Unit cell a=6.971 b=6.971 c=6.612 alpha=90.00 beta=90.00 gamma=120.00
Positions (direct):
K 0.333 0.667 0.250
K 0.667 0.333 0.750
Cu 0.000 0.000 0.000
Cu 0.000 0.000 0.500
Sb 0.186 0.373 0.750
Sb 0.186 0.814 0.750
Sb 0.373 0.186 0.250
Sb 0.627 0.814 0.750
Sb 0.814 0.186 0.250
Sb 0.814 0.627 0.250

---

no.,Fermi-level density of states (states/eV per atom)
1,0.1133
2,1.7090
3,1.1778
4,0.8750
5,0.4852
6,1.2855
7,0.5908
8,0.4006